## P2PbSe (GGA-PBE)

Data for an optimized crystal structure of P2PbSe. Values from VASP.

The structure in Quantum ESPRESSO input format:
```
&SYSTEM
  ibrav = 0, nat = 4, ntyp = 3
/
ATOMIC_SPECIES
P 30.97 P.upf
Se 78.96 Se.upf
Pb 207.20 Pb.upf
CELL_PARAMETERS angstrom
-2.406 -1.482 -2.675
-1.667 -3.264 3.308
-3.991 2.453 2.230
ATOMIC_POSITIONS crystal
P 0.000 0.057 0.903
P 0.000 0.443 0.597
Se 0.500 0.750 0.750
Pb 0.500 0.250 0.250
```

- ΔE_f (raw) (eV per atom) = 0.137
- theoretical density (g/cm3) = 5.97
- distance to the lowest polymorph of the same formula (meV per atom) = 156

## CaFeTc2 (GGA-PBE)

Data for an optimized crystal structure of CaFeTc2. Values from VASP.

The structure in Quantum ESPRESSO input format:
```
&SYSTEM
  ibrav = 0, nat = 4, ntyp = 3
/
ATOMIC_SPECIES
Ca 40.08 Ca.upf
Fe 55.84 Fe.upf
Tc 98.00 Tc.upf
CELL_PARAMETERS angstrom
-4.700 0.355 -8.184
-6.812 -0.477 -6.524
-6.200 2.258 -6.757
ATOMIC_POSITIONS crystal
Ca 0.250 0.250 0.250
Fe 0.750 0.750 0.750
Tc 0.012 0.012 0.012
Tc 0.488 0.488 0.488
```

- theoretical density (g/cm3) = 7.61
- distance to the lowest polymorph of the same formula (meV per atom) = 268
- energy relative to the elements (meV/atom) = 637

> distance to the lowest polymorph of the same formula of number 1 (P2PbSe)?

156 meV per atom

What did the second record say?
## CaFeTc2 (GGA-PBE)

Data for an optimized crystal structure of CaFeTc2. Values from VASP.

The structure in Quantum ESPRESSO input format:
```
&SYSTEM
  ibrav = 0, nat = 4, ntyp = 3
/
ATOMIC_SPECIES
Ca 40.08 Ca.upf
Fe 55.84 Fe.upf
Tc 98.00 Tc.upf
CELL_PARAMETERS angstrom
-4.700 0.355 -8.184
-6.812 -0.477 -6.524
-6.200 2.258 -6.757
ATOMIC_POSITIONS crystal
Ca 0.250 0.250 0.250
Fe 0.750 0.750 0.750
Tc 0.012 0.012 0.012
Tc 0.488 0.488 0.488
```

- theoretical density (g/cm3) = 7.61
- distance to the lowest polymorph of the same formula (meV per atom) = 268
- energy relative to the elements (meV/atom) = 637

What did the first record say?
## P2PbSe (GGA-PBE)

Data for an optimized crystal structure of P2PbSe. Values from VASP.

The structure in Quantum ESPRESSO input format:
```
&SYSTEM
  ibrav = 0, nat = 4, ntyp = 3
/
ATOMIC_SPECIES
P 30.97 P.upf
Se 78.96 Se.upf
Pb 207.20 Pb.upf
CELL_PARAMETERS angstrom
-2.406 -1.482 -2.675
-1.667 -3.264 3.308
-3.991 2.453 2.230
ATOMIC_POSITIONS crystal
P 0.000 0.057 0.903
P 0.000 0.443 0.597
Se 0.500 0.750 0.750
Pb 0.500 0.250 0.250
```

- ΔE_f (raw) (eV per atom) = 0.137
- theoretical density (g/cm3) = 5.97
- distance to the lowest polymorph of the same formula (meV per atom) = 156

> distance to the lowest polymorph of the same formula of number 2 (CaFeTc2)?

268 meV per atom